A relaxed structure of PuScTe2, computed with PBE.

Lattice parameters (Å, degrees): 4.173 4.173 14.889 90.00 90.00 120.00
Atoms (fractional coordinates):
Pu 0.333 0.667 0.750
Pu 0.667 0.333 0.250
Sc 0.000 0.000 0.000
Sc 0.000 0.000 0.500
Te 0.333 0.667 0.113
Te 0.333 0.667 0.387
Te 0.667 0.333 0.887
Te 0.667 0.333 0.613

Summary:
As for the theoretical density: 8.047 Mg/m³. Its total energy is -62.511 eV/cell. As for the crystal system: hexagonal. The value obtained for the energy relative to the lowest polymorph listed for this composition is 33 meV/atom. The value obtained for the uncorrected formation energy is -4.31 eV/f.u. For the magnetization, the calculation gives 6.12 μB/f.u.